This record from Alexandria describes MgGaCoRh after structural relaxation. The functional is PBE.

Calculated values
As for the space-group type: F-43m (216). As for the formation energy from the elements: -0.39 eV per atom. The calculation puts the calculated total energy at -5.1628 eV/atom.

a = 4.244 Å, b = 4.244 Å, c = 4.244 Å
α = 60.00°, β = 60.00°, γ = 60.00°
Atoms (fractional coordinates):
Mg 0.000 0.000 0.000
Ga 0.500 0.500 0.500
Co 0.250 0.250 0.250
Rh 0.750 0.750 0.750